1 | The following is a DFT calculation (GGA-PBE) of Pm3PrHo6 after structural relaxation.

abc: 11.090 19.005 6.268
angles: 90.00 90.00 90.00
Space group Cmc2_1 (No. 36)
One atom of each set of equivalent atoms:
Pm 0.000 0.109 0.000
Pm 0.175 0.389 0.394
Pr 0.000 0.298 0.071
Ho 0.000 0.220 0.574
Ho 0.000 0.457 0.829
Ho 0.165 0.047 0.468
Ho 0.247 0.211 0.302

Summary:
* total magnetic moment: 0.0000 μB/atom

***

2 | The following is a DFT calculation (GGA-PBE) of Pm3PrHo6 after structural relaxation.

abc: 9.9180 9.9180 11.6392
angles: 90.00 90.00 120.00
Space group R3 (No. 146, hexagonal axes)
One atom of each set of equivalent atoms:
Pm 0.0000 0.0000 0.0000
Pm 0.0000 0.0000 0.2483
Pm 0.0000 0.0000 0.4962
Pr 0.0000 0.0000 0.7484
Ho 0.0002 0.3277 0.7494
Ho 0.0002 0.6738 0.2494

Summary:
* total magnetic moment: 0.0001 μB/atom

***

Least stable: 2